DFT (PBE) results for a geometry-optimized SrHg2Se structure.

Cell lengths 5.4450, 5.4450, 5.4450 Å; angles 120.06, 120.06, 89.89 degrees
Positions (direct):
Sr (0.0000, 0.0000, 0.0000)
Hg (0.2500, 0.7500, 0.5000)
Hg (0.5000, 0.5000, 0.0000)
Se (0.7500, 0.2500, 0.5000)

VASP energy, eV per atom: -2.186
Raw formation energy, kJ per mole of atoms: -72
Space group: I-4m2 (119)